Record 1
Density functional theory data (PBE-GGA) for crystalline CsTeH4 at its relaxed geometry.

abc: 9.502 6.236 5.293
angles: 90.00 123.47 90.00
Space group C2/m (No. 12)
Inequivalent atoms, fractional coordinates:
Cs: 0.000 0.000 0.000 x2
Te: 0.000 0.500 0.500 x2
H: 0.146 0.500 0.070 x4
H: 0.147 0.500 0.220 x4

Values from the calculation:
- raw total energy (eV/cell) = -36.8

=====

Record 2
Density functional theory data (PBE-GGA) for crystalline Sr4CuP at its relaxed geometry.

abc: 9.697 9.697 9.697
angles: 90.00 90.00 90.00
Space group F-43m (No. 216)
Inequivalent atoms, fractional coordinates:
Sr: 0.124 0.124 0.376 x16
Cu: 0.000 0.000 0.000 x4
P: 0.250 0.250 0.750 x4

Values from the calculation:
- raw total energy (eV/cell) = -48.0

=====

Record 3
Density functional theory data (PBE-GGA) for crystalline Ce5PmIr5 at its relaxed geometry.

abc: 12.722 5.719 8.130
angles: 90.00 108.57 90.00
Space group C2/m (No. 12)
Inequivalent atoms, fractional coordinates:
Ce: 0.000 0.000 0.000 x2
Ce: 0.169 0.500 0.829 x4
Ce: 0.172 0.500 0.344 x4
Pm: 0.000 0.000 0.500 x2
Ir: 0.000 0.500 0.500 x2
Ir: 0.164 0.000 0.321 x4
Ir: 0.171 0.000 0.847 x4

Values from the calculation:
- raw total energy (eV/cell) = -171.3

=====

Record 4
Density functional theory data (PBE-GGA) for crystalline KSnAs at its relaxed geometry.

abc: 4.243 9.353 10.380
angles: 90.00 90.00 90.00
Space group Cmcm (No. 63)
Inequivalent atoms, fractional coordinates:
K: 0.000 0.000 0.000 x4
Sn: 0.000 0.316 0.250 x4
As: 0.000 0.367 0.750 x4

Values from the calculation:
- raw total energy (eV/cell) = -41.6

=====

Record 5
Density functional theory data (PBE-GGA) for crystalline HfHgGe at its relaxed geometry.

abc: 3.898 16.903 3.841
angles: 90.00 90.00 90.00
Space group Cmcm (No. 63)
Inequivalent atoms, fractional coordinates:
Hf: 0.000 0.077 0.250 x4
Hg: 0.000 0.217 0.750 x4
Ge: 0.000 0.436 0.250 x4

Values from the calculation:
- raw total energy (eV/cell) = -62.3
- offset from the most stable computed form (eV per atom) = 0.008

=====

Record 6
Density functional theory data (PBE-GGA) for crystalline TlCuBi2Se4 at its relaxed geometry.

abc: 4.217 14.307 14.859
angles: 90.00 90.00 90.00
Space group Cmcm (No. 63)
Inequivalent atoms, fractional coordinates:
Tl: 0.000 0.109 0.250 x4
Cu: 0.000 0.151 0.750 x4
Bi: 0.000 0.365 0.060 x8
Se: 0.000 0.000 0.000 x4
Se: 0.000 0.265 0.616 x8
Se: 0.000 0.433 0.250 x4

Values from the calculation:
- raw total energy (eV/cell) = -123.5
- raw formation energy (eV/atom) = -0.34

=====

Record 7
Density functional theory data (PBE-GGA) for crystalline KScSb at its relaxed geometry.

abc: 4.9250 4.9250 5.4392
angles: 90.00 90.00 120.00
Space group P3m1 (No. 156)
Inequivalent atoms, fractional coordinates:
K: 0.0000 0.0000 0.0000 x1
Sc: 0.6667 0.3333 0.5003 x1
Sb: 0.3333 0.6667 0.5015 x1

Values from the calculation:
- raw total energy (eV/cell) = -12.5
- raw formation energy (eV/atom) = -0.30

=====

Record 8
Density functional theory data (PBE-GGA) for crystalline TbUSN2 at its relaxed geometry.

abc: 3.785 3.785 11.983
angles: 90.00 90.00 90.00
Space group I4mm (No. 107)
Inequivalent atoms, fractional coordinates:
Tb: 0.000 0.000 0.000 x2
U: 0.000 0.000 0.307 x2
S: 0.000 0.000 0.652 x2
N: 0.000 0.500 0.392 x4

Values from the calculation:
- raw total energy (eV/cell) = -89.0
- raw formation energy (eV/atom) = -1.56

=====

Record 9
Density functional theory data (PBE-GGA) for crystalline Sm2Ni4Sn3Rh at its relaxed geometry.

abc: 4.155 4.155 10.983
angles: 90.00 90.00 90.00
Space group P-4m2 (No. 115)
Inequivalent atoms, fractional coordinates:
Sm: 0.000 0.500 0.237 x2
Ni: 0.000 0.000 0.500 x1
Ni: 0.000 0.500 0.861 x2
Ni: 0.500 0.500 0.500 x1
Sn: 0.000 0.000 0.000 x1
Sn: 0.000 0.500 0.632 x2
Rh: 0.500 0.500 0.000 x1

Values from the calculation:
- raw total energy (eV/cell) = -56.5

=====

Record 10
Density functional theory data (PBE-GGA) for crystalline TlAgTe2 at its relaxed geometry.

abc: 3.6419 3.6419 31.3177
angles: 90.00 90.00 120.00
Space group R3m (No. 160, hexagonal axes)
Inequivalent atoms, fractional coordinates:
Tl: 0.0000 0.0000 0.0000 x3
Ag: 0.0000 0.0000 0.2616 x3
Te: 0.0000 0.0000 0.5321 x3
Te: 0.0000 0.0000 0.7413 x3

Values from the calculation:
- raw total energy (eV/cell) = -32.7
- raw formation energy (eV/atom) = 0.15

=====

Record 11
Density functional theory data (PBE-GGA) for crystalline MgNb3Cl at its relaxed geometry.

abc: 4.871 4.871 4.871
angles: 90.00 90.00 90.00
Space group Pm-3m (No. 221)
Inequivalent atoms, fractional coordinates:
Mg: 0.000 0.000 0.000 x1
Nb: 0.000 0.000 0.500 x3
Cl: 0.500 0.500 0.500 x1

Values from the calculation:
- raw total energy (eV/cell) = -24.1
- raw formation energy (eV/atom) = 1.92
- offset from the most stable computed form (eV per atom) = 1.365

=====

Record 12
Density functional theory data (PBE-GGA) for crystalline Tb3Nd12Cd at its relaxed geometry.

abc: 5.103 5.103 20.638
angles: 90.00 90.00 90.00
Space group P4/mmm (No. 123)
Inequivalent atoms, fractional coordinates:
Tb: 0.000 0.000 0.000 x1
Tb: 0.000 0.000 0.253 x2
Nd: 0.000 0.500 0.126 x4
Nd: 0.000 0.500 0.379 x4
Nd: 0.500 0.500 0.000 x1
Nd: 0.500 0.500 0.254 x2
Nd: 0.500 0.500 0.500 x1
Cd: 0.000 0.000 0.500 x1

Values from the calculation:
- raw total energy (eV/cell) = -72.2

=====

Record 13
Density functional theory data (PBE-GGA) for crystalline In3CoC at its relaxed geometry.

abc: 4.917 4.917 4.917
angles: 90.00 90.00 90.00
Space group Pm-3m (No. 221)
Inequivalent atoms, fractional coordinates:
In: 0.000 0.000 0.500 x3
Co: 0.000 0.000 0.000 x1
C: 0.500 0.500 0.500 x1

Values from the calculation:
- raw total energy (eV/cell) = -18.4
- offset from the most stable computed form (eV per atom) = 0.035